(1)
Density functional theory data (GGA-PBE) for a relaxed YBeAl2 crystal.

abc: 6.557 6.557 6.557
angles: 90.00 90.00 90.00
Element x y z (fractional)
Y 0.000 0.000 0.000
Y 0.000 0.500 0.500
Y 0.500 0.000 0.500
Y 0.500 0.500 0.000
Be 0.250 0.250 0.750
Be 0.250 0.750 0.250
Be 0.750 0.250 0.250
Be 0.750 0.750 0.750
Al 0.000 0.000 0.500
Al 0.000 0.500 0.000
Al 0.250 0.250 0.250
Al 0.250 0.750 0.750
Al 0.500 0.000 0.000
Al 0.500 0.500 0.500
Al 0.750 0.250 0.750
Al 0.750 0.750 0.250

Output
- energy of formation from the pure elements (kJ/mol of atoms) = 1.37
- VASP energy (eV per atom) = -4.40
- space group = F-43m
- total moment (μB per formula unit) = 0.00

(2)
Density functional theory data (GGA-PBE) for a relaxed AcSbPbO crystal.

abc: 3.570 3.570 17.137
angles: 90.00 90.00 90.00
Element x y z (fractional)
Ac 0.000 0.000 0.000
Ac 0.500 0.500 0.500
Sb 0.000 0.000 0.665
Sb 0.500 0.500 0.165
Pb 0.000 0.000 0.290
Pb 0.500 0.500 0.790
O 0.000 0.000 0.475
O 0.500 0.500 0.975

Output
- raw formation energy (kJ/mol of atoms) = -118.21
- VASP energy (eV per atom) = -5.45
- space group = I4mm
- total moment (μB per formula unit) = 0.00

(3)
Density functional theory data (GGA-PBE) for a relaxed CaZnCl2 crystal.

abc: 6.790 6.798 4.015
angles: 90.00 90.00 90.00
Element x y z (fractional)
Ca 0.000 0.000 0.000
Ca 0.500 0.500 0.000
Zn 0.000 0.500 0.000
Zn 0.500 0.000 0.000
Cl 0.250 0.250 0.500
Cl 0.250 0.750 0.500
Cl 0.750 0.250 0.500
Cl 0.750 0.750 0.500

Output
- raw formation energy (kJ/mol of atoms) = -113.63
- VASP energy (eV per atom) = -2.92
- space group = Cmmm
- total moment (μB per formula unit) = 0.00
- polymorph energy (0 for the lowest one) (meV/atom) = 361

(4)
Density functional theory data (GGA-PBE) for a relaxed PuTiHg2 crystal.

abc: 7.182 7.182 7.182
angles: 90.00 90.00 90.00
Element x y z (fractional)
Pu 0.000 0.000 0.000
Pu 0.000 0.500 0.500
Pu 0.500 0.000 0.500
Pu 0.500 0.500 0.000
Ti 0.000 0.000 0.500
Ti 0.000 0.500 0.000
Ti 0.500 0.000 0.000
Ti 0.500 0.500 0.500
Hg 0.250 0.250 0.250
Hg 0.250 0.250 0.750
Hg 0.250 0.750 0.250
Hg 0.250 0.750 0.750
Hg 0.750 0.250 0.250
Hg 0.750 0.250 0.750
Hg 0.750 0.750 0.250
Hg 0.750 0.750 0.750

Output
- energy of formation from the pure elements (kJ/mol of atoms) = 4.75
- VASP energy (eV per atom) = -5.66
- space group = Fm-3m
- total moment (μB per formula unit) = 7.33
- polymorph energy (0 for the lowest one) (meV/atom) = 93

(5)
Density functional theory data (GGA-PBE) for a relaxed Lu2CdHg crystal.

abc: 3.670 3.670 7.267
angles: 90.00 90.00 90.00
Element x y z (fractional)
Lu 0.000 0.000 0.246
Lu 0.000 0.000 0.754
Cd 0.500 0.500 0.500
Hg 0.500 0.500 0.000

Output
- energy of formation from the pure elements (kJ/mol of atoms) = -36.94
- VASP energy (eV per atom) = -2.95
- space group = P4/mmm
- total moment (μB per formula unit) = 0.00
- polymorph energy (0 for the lowest one) (meV/atom) = 0

(6)
Density functional theory data (GGA-PBE) for a relaxed CaHgBAu2 crystal.

abc: 4.414 4.414 5.305
angles: 90.00 90.00 90.00
Element x y z (fractional)
Ca 0.000 0.000 0.000
Hg 0.500 0.500 0.000
B 0.000 0.000 0.500
Au 0.000 0.500 0.500
Au 0.500 0.000 0.500

Output
- energy of formation from the pure elements (kJ/mol of atoms) = -5.38
- VASP energy (eV per atom) = -3.16
- space group = P4/mmm
- total moment (μB per formula unit) = 0.00

(7)
Density functional theory data (GGA-PBE) for a relaxed Ca3Ac2Zn4 crystal.

abc: 8.767 8.241 7.740
angles: 90.00 107.96 90.00
Element x y z (fractional)
Ca 0.000 0.000 0.000
Ca 0.000 0.500 0.500
Ca 0.257 0.181 0.760
Ca 0.257 0.319 0.260
Ca 0.743 0.681 0.740
Ca 0.743 0.819 0.240
Ac 0.311 0.678 0.940
Ac 0.311 0.822 0.440
Ac 0.689 0.178 0.560
Ac 0.689 0.322 0.060
Zn 0.012 0.620 0.115
Zn 0.012 0.880 0.615
Zn 0.435 0.032 0.140
Zn 0.435 0.468 0.640
Zn 0.565 0.532 0.360
Zn 0.565 0.968 0.860
Zn 0.988 0.120 0.385
Zn 0.988 0.380 0.885

Output
- energy of formation from the pure elements (kJ/mol of atoms) = -19.85
- VASP energy (eV per atom) = -2.35
- space group = P2_1/c
- total moment (μB per formula unit) = 0.00

(8)
Density functional theory data (GGA-PBE) for a relaxed Cs2GaNi crystal.

abc: 13.204 13.204 4.604
angles: 90.00 90.00 90.00
Element x y z (fractional)
Cs 0.068 0.750 0.125
Cs 0.250 0.068 0.875
Cs 0.250 0.432 0.375
Cs 0.432 0.750 0.625
Cs 0.568 0.250 0.625
Cs 0.750 0.568 0.375
Cs 0.750 0.932 0.875
Cs 0.932 0.250 0.125
Ga 0.000 0.000 0.500
Ga 0.000 0.500 0.750
Ga 0.500 0.000 0.250
Ga 0.500 0.500 0.000
Ni 0.000 0.000 0.000
Ni 0.000 0.500 0.250
Ni 0.500 0.000 0.750
Ni 0.500 0.500 0.500

Output
- energy of formation from the pure elements (kJ/mol of atoms) = 17.11
- VASP energy (eV per atom) = -2.45
- space group = I-42d
- total moment (μB per formula unit) = 0.00
- polymorph energy (0 for the lowest one) (meV/atom) = 0

(9)
Density functional theory data (GGA-PBE) for a relaxed ZnInPCl2 crystal.

abc: 5.187 5.187 5.308
angles: 90.00 90.00 90.00
Element x y z (fractional)
Zn 0.000 0.000 0.000
In 0.500 0.500 0.500
P 0.500 0.500 0.000
Cl 0.000 0.500 0.500
Cl 0.500 0.000 0.500

Output
- raw formation energy (kJ/mol of atoms) = 8.45
- VASP energy (eV per atom) = -2.54
- space group = P4/mmm
- total moment (μB per formula unit) = 1.65
- polymorph energy (0 for the lowest one) (meV/atom) = 221

(10)
Density functional theory data (GGA-PBE) for a relaxed Mn2AgSe crystal.

abc: 4.194 4.194 7.805
angles: 90.00 90.00 90.00
Element x y z (fractional)
Mn 0.000 0.500 0.250
Mn 0.000 0.500 0.750
Mn 0.500 0.000 0.250
Mn 0.500 0.000 0.750
Ag 0.000 0.000 0.000
Ag 0.500 0.500 0.500
Se 0.000 0.000 0.500
Se 0.500 0.500 0.000

Output
- raw formation energy (kJ/mol of atoms) = 25.70
- VASP energy (eV per atom) = -5.90
- space group = I4/mmm
- total moment (μB per formula unit) = 8.15

(11)
Density functional theory data (GGA-PBE) for a relaxed Tb2YHg2 crystal.

abc: 5.166 5.166 6.357
angles: 90.00 90.00 120.00
Element x y z (fractional)
Tb 0.333 0.667 0.158
Tb 0.667 0.333 0.842
Y 0.000 0.000 0.500
Hg 0.333 0.667 0.671
Hg 0.667 0.333 0.329

Output
- energy of formation from the pure elements (kJ/mol of atoms) = -24.58
- VASP energy (eV per atom) = -3.52
- space group = P-3m1
- total moment (μB per formula unit) = 0.39
- polymorph energy (0 for the lowest one) (meV/atom) = 142

(12)
Density functional theory data (GGA-PBE) for a relaxed Pu2PaPt4 crystal.

abc: 3.530 20.807 3.701
angles: 90.00 90.00 90.00
Element x y z (fractional)
Pu 0.000 0.212 0.000
Pu 0.000 0.788 0.000
Pu 0.500 0.288 0.000
Pu 0.500 0.712 0.000
Pa 0.000 0.500 0.500
Pa 0.500 0.000 0.500
Pt 0.000 0.070 0.000
Pt 0.000 0.356 0.500
Pt 0.000 0.644 0.500
Pt 0.000 0.930 0.000
Pt 0.500 0.144 0.500
Pt 0.500 0.430 0.000
Pt 0.500 0.570 0.000
Pt 0.500 0.856 0.500

Output
- energy of formation from the pure elements (kJ/mol of atoms) = -53.45
- VASP energy (eV per atom) = -9.46
- space group = Cmmm
- total moment (μB per formula unit) = 2.63
- polymorph energy (0 for the lowest one) (meV/atom) = 193

(13)
Density functional theory data (GGA-PBE) for a relaxed Sc5In2Ni2Pd crystal.

abc: 10.939 10.939 3.294
angles: 90.00 90.00 90.00
Element x y z (fractional)
Sc 0.000 0.500 0.000
Sc 0.068 0.201 0.000
Sc 0.201 0.932 0.000
Sc 0.299 0.432 0.000
Sc 0.432 0.701 0.000
Sc 0.500 0.000 0.000
Sc 0.568 0.299 0.000
Sc 0.701 0.568 0.000
Sc 0.799 0.068 0.000
Sc 0.932 0.799 0.000
In 0.175 0.675 0.500
In 0.325 0.175 0.500
In 0.675 0.825 0.500
In 0.825 0.325 0.500
Ni 0.131 0.369 0.500
Ni 0.369 0.869 0.500
Ni 0.631 0.131 0.500
Ni 0.869 0.631 0.500
Pd 0.000 0.000 0.500
Pd 0.500 0.500 0.500

Output
- energy of formation from the pure elements (kJ/mol of atoms) = -51.18
- VASP energy (eV per atom) = -5.92
- space group = P4/mbm
- total moment (μB per formula unit) = 0.00

(14)
Density functional theory data (GGA-PBE) for a relaxed Pm2PaNi crystal.

abc: 3.370 3.370 31.671
angles: 90.00 90.00 120.00
Element x y z (fractional)
Pm 0.000 0.000 0.104
Pm 0.000 0.000 0.896
Pm 0.333 0.667 0.563
Pm 0.333 0.667 0.771
Pm 0.667 0.333 0.229
Pm 0.667 0.333 0.437
Pa 0.000 0.000 0.000
Pa 0.333 0.667 0.667
Pa 0.667 0.333 0.333
Ni 0.000 0.000 0.500
Ni 0.333 0.667 0.167
Ni 0.667 0.333 0.833

Output
- energy of formation from the pure elements (kJ/mol of atoms) = 30.07
- VASP energy (eV per atom) = -5.88
- space group = R-3m
- total moment (μB per formula unit) = 0.00
- polymorph energy (0 for the lowest one) (meV/atom) = 263

(15)
Density functional theory data (GGA-PBE) for a relaxed Ge2SbP crystal.

abc: 6.852 6.852 6.852
angles: 90.00 90.00 90.00
Element x y z (fractional)
Ge 0.250 0.250 0.250
Ge 0.250 0.250 0.750
Ge 0.250 0.750 0.250
Ge 0.250 0.750 0.750
Ge 0.750 0.250 0.250
Ge 0.750 0.250 0.750
Ge 0.750 0.750 0.250
Ge 0.750 0.750 0.750
Sb 0.000 0.000 0.000
Sb 0.000 0.500 0.500
Sb 0.500 0.000 0.500
Sb 0.500 0.500 0.000
P 0.000 0.000 0.500
P 0.000 0.500 0.000
P 0.500 0.000 0.000
P 0.500 0.500 0.500

Output
- raw formation energy (kJ/mol of atoms) = 44.08
- VASP energy (eV per atom) = -4.23
- space group = Fm-3m
- total moment (μB per formula unit) = 0.00
- polymorph energy (0 for the lowest one) (meV/atom) = 220

(16)
Density functional theory data (GGA-PBE) for a relaxed AgW crystal.

abc: 3.097 4.888 9.244
angles: 90.00 90.00 90.00
Element x y z (fractional)
Ag 0.000 0.250 0.121
Ag 0.000 0.750 0.879
Ag 0.500 0.250 0.379
Ag 0.500 0.750 0.621
W 0.000 0.250 0.645
W 0.000 0.750 0.355
W 0.500 0.250 0.855
W 0.500 0.750 0.145

Output
- energy of formation from the pure elements (kJ/mol of atoms) = 72.41
- VASP energy (eV per atom) = -7.15
- space group = Imma
- total moment (μB per formula unit) = 0.00
- polymorph energy (0 for the lowest one) (meV/atom) = 407

(17)
Density functional theory data (GGA-PBE) for a relaxed Pr3ErSi2N6 crystal.

abc: 5.858 5.858 6.464
angles: 90.00 90.00 120.00
Element x y z (fractional)
Pr 0.000 0.000 0.000
Pr 0.333 0.667 0.646
Pr 0.667 0.333 0.354
Er 0.000 0.000 0.500
Si 0.333 0.667 0.191
Si 0.667 0.333 0.809
N 0.176 0.351 0.285
N 0.176 0.824 0.285
N 0.351 0.176 0.715
N 0.649 0.824 0.285
N 0.824 0.176 0.715
N 0.824 0.649 0.715

Output
- raw formation energy (kJ/mol of atoms) = -102.87
- VASP energy (eV per atom) = -7.71
- space group = P-3m1
- total moment (μB per formula unit) = 1.80